DFT (PBE-GGA) results for PuZn9Cd2 after structural relaxation.

Structure (CIF):
```
data_PuZn9Cd2
_chemical_formula_sum 'Pu3 Zn27 Cd6'
_cell_length_a 5.3387
_cell_length_b 5.3387
_cell_length_c 25.2863
_cell_angle_alpha 90.00
_cell_angle_beta 90.00
_cell_angle_gamma 120.00
_space_group_name_H-M_alt 'R -3 m'
_space_group_IT_number 166
_space_group_name_Hall '-R 3 2"'
loop_
_atom_site_label
_atom_site_type_symbol
_atom_site_fract_x
_atom_site_fract_y
_atom_site_fract_z
Pu1 Pu 0.0000 0.0000 0.0000
Zn1 Zn 0.0000 0.0000 0.3333
Zn2 Zn 0.0000 0.0000 0.5000
Zn3 Zn 0.0040 0.5020 0.9150
Cd1 Cd 0.0000 0.0000 0.1377
```

Computed properties:
* DOS at the Fermi energy: 14.874 states/eV/f.u.
* size of the total moment: 5.8 μB per formula unit
* VASP energy: -0.1731 Ry per atom